(1)
The following is a DFT calculation (GGA-PBE) of Ca2ErHg5 after structural relaxation.

```
Ca2ErHg5
1.0
5.2765 0.0000 0.0000
0.0000 5.2765 0.0000
-2.6382 -2.6382 7.2786
Hg Ca Er
5 2 1
Direct
0.5000 0.5000 0.0000
0.6213 0.1213 0.2426
0.1213 0.6213 0.2426
0.3787 0.8787 0.7574
0.8787 0.3787 0.7574
0.7406 0.7406 0.4812
0.2594 0.2594 0.5188
0.0000 0.0000 0.0000
```

Output
* formation energy from the elements: -9.98 kcal/mol of atoms
* density: 10.25 g/cm3
* symmetry: I4/mmm


(2)
The following is a DFT calculation (GGA-PBE) of Ca2ErHg3 after structural relaxation.

```
Ca2ErHg3
1.0
-3.7323 -0.5056 0.1210
0.5190 -3.5743 1.0748
-0.0871 3.2037 10.6967
Ca Hg Er
2 3 1
Direct
0.5000 0.5000 0.1691
0.5000 0.5000 0.8309
0.0000 0.0000 0.3444
0.0000 0.0000 0.6556
0.0000 0.0000 0.0000
0.5000 0.5000 0.5000
```

Output
* formation energy from the elements: -12.30 kcal/mol of atoms
* density: 8.89 g/cm3
* symmetry: P4/mmm


(3)
The following is a DFT calculation (GGA-PBE) of CaErHg6 after structural relaxation.

```
CaErHg6
1.0
5.1191 0.0000 0.0000
0.0000 6.5945 -0.1570
0.0000 -3.0604 5.8435
Hg Er Ca
6 1 1
Direct
0.5000 0.4174 0.0892
0.0000 0.0734 0.4068
0.0000 0.5932 0.9266
0.5000 0.9207 0.0793
0.5000 0.9108 0.5826
0.0000 0.5836 0.4164
0.0000 0.0899 0.9101
0.5000 0.4107 0.5893
```

Output
* formation energy from the elements: -8.04 kcal/mol of atoms
* density: 12.03 g/cm3
* relative energy among the computed polymorphs: 0 meV/atom
* symmetry: Amm2